Entry from Alexandria: an optimized crystal structure of FeRe2As (PBE).

Symmetry ... R-3m
Excess energy over the best structure of this formula in the dataset ... 161 meV per atom
ΔE_f ... 0.33 eV per atom
DOS at the Fermi energy ... 3.409 states/eV/f.u.
Total magnetic moment ... 1.350 μB/f.u.

a = 8.4241 Å, b = 8.4241 Å, c = 8.4241 Å
α = 19.26°, β = 19.26°, γ = 19.26°
Fractional positions:
Re: 0.0015 0.0015 0.0015
Re: 0.4985 0.4985 0.4985
Fe: 0.7500 0.7500 0.7500
As: 0.2500 0.2500 0.2500